This record from Alexandria via LeMat-Bulk describes a relaxed YCoRh2 crystal. The functional is PBE.

The structure in CIF format:
```
data_YCoRh2
_chemical_formula_sum 'Y1 Co1 Rh2'
_symmetry_space_group_name_H-M 'P 1'
_symmetry_Int_Tables_number 1
_symmetry_space_group_name_Hall 'P 1'
_cell_length_a 4.1872
_cell_length_b 4.1872
_cell_length_c 5.2790
_cell_angle_alpha 66.68
_cell_angle_beta 66.68
_cell_angle_gamma 60.02
loop_
_atom_site_label
_atom_site_type_symbol
_atom_site_fract_x
_atom_site_fract_y
_atom_site_fract_z
Co1 Co 0.3076 0.3076 0.0771
Rh1 Rh 0.9703 0.9703 0.0892
Rh2 Rh 0.7180 0.7180 0.8455
Y1 Y 0.5041 0.5041 0.4881
```

Values from the calculation:
Calculated density, g/cm3: 8.24
Formation enthalpy at 0 K, eV/atom: -0.22